9
Lattice="7.1367 0.0000 0.0000 0.0000 4.2781 0.0000 0.0000 0.0000 4.2781" Properties=species:S:1:pos:R:3 comment="Er2Hg2O5 (PBE, relaxed)" relative_energy_mev_per_atom=625 spacegroup=P4/mmm pbc="T T T"
Er 3.5684 0.0000 0.0000
Er 0.0000 0.0000 0.0000
O 1.4924 0.0000 2.1390
O 1.4924 2.1390 0.0000
O 3.5684 2.1390 2.1390
O 5.6443 2.1390 0.0000
O 5.6443 0.0000 2.1390
Hg 5.7624 2.1390 2.1390
Hg 1.3743 2.1390 2.1390

9
Lattice="8.6974 0.0000 0.0000 0.0000 4.0773 0.0000 0.0000 0.0000 4.0773" Properties=species:S:1:pos:R:3 comment="Er2Hg2O5 (PBE, relaxed)" relative_energy_mev_per_atom=0 spacegroup=P4/mmm pbc="T T T"
O 4.3487 2.0386 2.0386
O 7.2438 2.0386 0.0000
O 7.2438 0.0000 2.0386
O 1.4536 0.0000 2.0386
O 1.4536 2.0386 0.0000
Er 6.5083 2.0386 2.0386
Er 2.1891 2.0386 2.0386
Hg 4.3487 0.0000 0.0000
Hg 0.0000 0.0000 0.0000

8
Lattice="4.0431 -4.0431 0.0000 4.0431 4.0431 0.0000 0.0000 0.0000 4.6733" Properties=species:S:1:pos:R:3 comment="ErHgPO (PBE, relaxed)" relative_energy_mev_per_atom=341 spacegroup=P4/nmm pbc="T T T"
O 4.0431 2.0215 0.0000
O 4.0431 -2.0215 0.0000
P 6.0646 0.0000 2.3229
P 2.0215 0.0000 2.3505
Er 4.0431 2.0215 2.3367
Er 4.0431 -2.0215 2.3367
Hg 6.0646 0.0000 4.6593
Hg 2.0215 0.0000 0.0140

8
Lattice="-3.6044 1.8673 -0.3853 -2.8144 -5.0128 2.0332 0.4950 2.2327 6.1899" Properties=species:S:1:pos:R:3 comment="ErHgPO (PBE, relaxed)" relative_energy_mev_per_atom=200 spacegroup=Pmc2_1 pbc="T T T"
Er 0.1938 1.1303 3.6650
Er -2.6803 -4.6645 2.4676
Hg -3.1481 -0.7916 4.0367
Hg -2.5307 0.9838 6.8644
P -2.2285 0.6070 2.2120
P -3.6258 -1.2062 6.4951
O -0.1985 0.8019 5.7428
O -2.0168 -3.1123 3.7826

8
Lattice="-1.9527 2.9570 1.9595 -3.2184 -2.4175 0.4410 3.2751 -2.9519 7.7181" Properties=species:S:1:pos:R:3 comment="ErHgPO (PBE, relaxed)" relative_energy_mev_per_atom=0 spacegroup=P4/nmm pbc="T T T"
P -2.9228 -0.4565 4.0521
P 1.0269 -1.9559 6.0667
Hg -0.6316 0.1374 5.4390
Hg -1.2644 -2.5498 4.6797
O -2.2691 1.6134 1.5799
O -2.9019 -1.0739 0.8207
Er -0.9193 -0.2017 1.4802
Er -0.9766 -2.2107 8.6385

8
Lattice="-1.2304 3.9999 -0.4382 -6.5133 -2.0106 -0.0646 -0.2343 0.5706 5.8665" Properties=species:S:1:pos:R:3 comment="ErHgPO (PBE, relaxed)" relative_energy_mev_per_atom=198 spacegroup=Pmc2_1 pbc="T T T"
O -5.8234 0.6722 2.2854
O -2.2416 2.0994 5.2553
Er -2.1419 -0.0621 5.4474
Er -4.6909 -1.1704 2.4877
P -2.0681 -0.3625 2.4984
P -4.7635 -0.8731 5.4061
Hg -1.5623 2.0017 2.4561
Hg -6.5130 0.7949 5.3414

16
Lattice="5.6445 0.0000 -0.0015 0.0000 5.6406 0.0000 -0.4193 0.0000 13.0258" Properties=species:S:1:pos:R:3 comment="ErHgSeO (PBE, relaxed)" relative_energy_mev_per_atom=0 spacegroup=P2_1 pbc="T T T"
Hg 1.8804 0.5347 6.5609
Hg 5.5204 1.9219 3.4208
Hg -0.2952 4.7422 9.6036
Hg 3.3449 3.3551 6.4635
Er 2.4175 4.6301 12.0052
Er 5.2296 1.8193 11.9872
Er -0.0044 4.6396 1.0371
Er 2.8077 1.8098 1.0191
O 3.8136 0.3984 13.0234
O 1.3857 0.3889 0.0020
O 1.4116 3.2187 0.0010
O 3.8395 3.2092 13.0224
Se 3.6039 2.9818 9.8193
Se 1.4508 0.8623 9.9047
Se 3.7743 3.6826 3.1196
Se 1.6213 0.1615 3.2051

16
Lattice="-4.7640 -4.6918 3.4452 5.2801 -4.4476 1.2444 1.2670 3.1379 5.8391" Properties=species:S:1:pos:R:3 comment="ErHgSeO (PBE, relaxed)" relative_energy_mev_per_atom=103 spacegroup=P2_1/c pbc="T T T"
O 2.7889 -4.6325 4.9203
O 2.4470 -2.2419 7.6099
O -1.0058 -1.3689 5.6085
O -0.6639 -3.7595 2.9187
Hg 1.6542 0.7056 3.1588
Hg 0.1289 -6.7071 7.3699
Hg 2.8833 1.7730 6.2187
Hg -1.1002 -7.7744 4.3100
Er -0.9957 -1.7398 3.4951
Er 2.7788 -4.2616 7.0336
Er 0.8122 -1.1600 6.6915
Er 0.9709 -4.8414 3.8373
Se -0.1821 -4.1535 6.5213
Se 0.1780 1.7600 6.3565
Se 1.6051 -7.7614 4.1722
Se 1.9652 -1.8479 4.0074

8
Lattice="4.6728 0.0000 0.0000 0.0000 8.9016 0.0000 0.0000 0.0000 5.4923" Properties=species:S:1:pos:R:3 comment="ErHgSeO (PBE, relaxed)" relative_energy_mev_per_atom=228 spacegroup=Pmc2_1 pbc="T T T"
Se 0.0000 6.1749 0.7295
Se 0.0000 2.7267 3.4757
Hg 0.0000 6.1926 3.4508
Hg 0.0000 2.7090 0.7047
O 2.3364 0.7033 1.0151
O 2.3364 8.1983 3.7612
Er 2.3364 1.1932 2.9935
Er 2.3364 7.7083 0.2474

8
Lattice="-3.1516 -2.4155 0.3426 2.3872 -2.9377 1.2474 -1.2762 3.0206 9.5560" Properties=species:S:1:pos:R:3 comment="ErHgSeO (PBE, relaxed)" relative_energy_mev_per_atom=113 spacegroup=P4/nmm pbc="T T T"
Hg -2.4050 -1.0358 5.3468
Hg 0.3644 -1.2968 5.7992
Se -0.9027 -3.2353 3.6591
Se -1.1379 0.9027 7.4870
Er -1.7185 -1.3044 9.7675
Er -0.3221 -1.0282 1.3786
O -1.7669 -2.5461 0.5688
O 1.0025 -2.8072 1.0212

8
Lattice="4.0850 0.0000 0.0000 0.0000 4.0850 0.0000 0.0000 0.0000 10.5666" Properties=species:S:1:pos:R:3 comment="ErHgTeO (PBE, relaxed)" relative_energy_mev_per_atom=16 spacegroup=P4/nmm pbc="T T T"
O 1.0212 3.0637 0.0000
O 3.0637 1.0212 0.0000
Er 1.0212 1.0212 0.9875
Er 3.0637 3.0637 9.5791
Te 1.0212 1.0212 7.8243
Te 3.0637 3.0637 2.7424
Hg 3.0637 1.0212 5.2833
Hg 1.0212 3.0637 5.2833

16
Lattice="-0.3428 -3.9348 7.2038 -3.8487 -5.1886 -3.0172 5.8514 -3.2683 -1.8435" Properties=species:S:1:pos:R:3 comment="ErHgTeO (PBE, relaxed)" relative_energy_mev_per_atom=0 spacegroup=P2_1/c pbc="T T T"
Hg -0.1963 -5.8534 -3.3249
Hg 1.8562 -6.5383 5.6680
Hg 3.1882 -6.8690 -3.8869
Hg -1.5283 -5.5227 6.2300
Er 0.5368 -8.8033 0.0099
Er 1.1231 -3.5884 2.3332
Er -1.5633 -6.0561 1.5789
Er 3.2232 -6.3356 0.7642
Te 5.3976 -4.1091 -0.1042
Te 0.9820 -7.4983 2.9319
Te -3.7377 -8.2826 2.4473
Te 0.6779 -4.8935 -0.5888
O -0.8774 -4.2924 2.6271
O 2.8072 -4.9034 2.3004
O -1.1473 -7.4883 0.0428
O 2.5373 -8.0993 -0.2840

8
Lattice="4.8727 0.0000 0.0000 0.0000 9.1451 0.0000 0.0000 0.0000 5.8529" Properties=species:S:1:pos:R:3 comment="ErHgTeO (PBE, relaxed)" relative_energy_mev_per_atom=144 spacegroup=Pmc2_1 pbc="T T T"
Er 2.4363 1.1394 3.0565
Er 2.4363 8.0056 0.1301
Hg 0.0000 6.4171 3.7361
Hg 0.0000 2.7280 0.8097
Te 0.0000 6.3077 0.8371
Te 0.0000 2.8374 3.7635
O 2.4363 8.5013 4.0234
O 2.4363 0.6438 1.0970

3
Lattice="-0.2178 1.7854 4.7321 -3.2778 -1.9873 3.3068 1.6858 -2.8218 3.8502" Properties=species:S:1:pos:R:3 comment="ErHgPb (PBE, relaxed)" dft_energy_ev_per_atom=-2.894 spacegroup=F-43m pbc="T T T"
Pb 0.0000 0.0000 0.0000
Er -0.4524 -0.7559 2.9723
Hg -1.3573 -2.2677 8.9168

16
Lattice="-4.1057 4.1057 6.4982 4.1057 -4.1057 6.4982 4.1057 4.1057 -6.4982" Properties=species:S:1:pos:R:3 comment="Er5Hg2Pb (PBE, relaxed)" dft_energy_ev_per_atom=-3.807 spacegroup=I4/mcm pbc="T T T"
Hg 1.1482 2.9575 0.0000
Hg 2.9575 1.1482 6.4982
Hg -1.1482 2.9575 6.4982
Hg 5.2539 1.1482 0.0000
Er 0.0000 0.0000 0.0000
Er 1.2592 5.3649 1.9204
Er 2.8466 1.2592 1.9204
Er 1.2592 5.3649 -1.9204
Er 0.0000 0.0000 6.4982
Er 1.2592 2.8466 8.4186
Er 1.2592 2.8466 4.5778
Er 2.8466 -1.2592 4.5778
Er 2.8466 -1.2592 8.4186
Er 2.8466 1.2592 -1.9204
Pb 0.0000 0.0000 3.2491
Pb 0.0000 0.0000 9.7473

3
Lattice="0.0000 3.3066 3.3066 3.3066 0.0000 3.3066 3.3066 3.3066 0.0000" Properties=species:S:1:pos:R:3 comment="ErHgPd (PBE, relaxed)" e_form_mev_per_atom=-595 spacegroup=F-43m pbc="T T T"
Pd 1.6533 1.6533 1.6533
Er 3.3066 3.3066 3.3066
Hg 0.0000 0.0000 0.0000

8
Lattice="-2.6008 2.6008 7.2844 2.6008 -2.6008 7.2844 2.6008 2.6008 -7.2844" Properties=species:S:1:pos:R:3 comment="PmEr2Hg5 (PBE, relaxed)" e_form_mev_per_atom=-438 spacegroup=I4/mmm pbc="T T T"
Hg 2.6008 0.0000 5.4060
Hg 0.0000 2.6008 5.4060
Hg 0.0000 0.0000 7.2844
Hg 2.6008 0.0000 1.8783
Hg 0.0000 2.6008 1.8783
Pm 0.0000 0.0000 0.0000
Er 0.0000 0.0000 3.8721
Er 0.0000 0.0000 10.6967

8
Lattice="-6.2011 -2.2649 -0.7976 4.8998 -4.2094 1.5789 -0.9103 0.7723 4.8842" Properties=species:S:1:pos:R:3 comment="PrErHg6 (PBE, relaxed)" e_form_mev_per_atom=-351 spacegroup=P-6m2 pbc="T T T"
Hg -0.7055 -3.2275 0.3789
Hg -4.8236 -2.1998 2.0368
Hg -1.6938 -1.0567 2.4394
Hg -2.3506 -4.3243 2.8337
Hg -3.7141 -4.3264 -0.0081
Hg -3.0828 -1.1852 -0.3872
Pr 0.7443 -3.1750 3.2288
Er 0.0000 0.0000 0.0000

3
Lattice="-1.6819 0.4633 4.8699 -4.9160 -1.1205 1.1562 -1.1071 -4.2280 2.7673" Properties=species:S:1:pos:R:3 comment="PrErHg (PBE, relaxed)" relative_energy_mev_per_atom=0 e_form_mev_per_atom=-95 spacegroup=F-43m pbc="T T T"
Pr -5.7787 -3.6639 6.5951
Er -1.9262 -1.2213 2.1984
Hg 0.0000 0.0000 0.0000

3
Lattice="0.8458 -3.9735 3.0827 -3.9135 -2.3105 2.3138 -1.4054 -4.6868 -1.4372" Properties=species:S:1:pos:R:3 comment="ErPuHg (PBE, relaxed)" e_form_mev_per_atom=105 spacegroup=F-43m pbc="T T T"
Hg -1.1183 -2.7427 0.9898
Er -2.2366 -5.4854 1.9796
Pu 0.0000 0.0000 0.0000